{"formula": "Be2SbRh", "functional": "PBE-GGA", "state": "relaxed", "lattice": [[-2.500, 0.210, 1.800], [1.502, -1.476, 2.258], [1.955, 5.212, 2.107]], "species": ["Sb", "Rh", "Be", "Be"], "frac_coords": [[0.500, 0.500, 0.763], [0.000, 0.000, 0.421], [0.000, 0.000, 0.058], [0.500, 0.500, 0.258]], "raw_formation_energy_ev_per_atom": 0.038, "crystal_system": "tetragonal", "e_tot_ev_per_cell": -18.8, "dos_ef_per_ev_atom": 0.49}